w:
# LiLa2Bi2, relaxed, DFT PBE
data_LiLa2Bi2
_chemical_formula_sum 'Li2 La4 Bi4'
_symmetry_space_group_name_H-M 'P 1'
_symmetry_Int_Tables_number 1
_symmetry_space_group_name_Hall 'P 1'
_cell_length_a 8.9676
_cell_length_b 8.9676
_cell_length_c 4.1849
_cell_angle_alpha 90.00
_cell_angle_beta 90.00
_cell_angle_gamma 90.00
loop_
_atom_site_label
_atom_site_fract_x
_atom_site_fract_y
_atom_site_fract_z
Li1 0.0000 0.0000 0.0000
Li2 0.5000 0.5000 0.0000
La1 0.1388 0.3612 0.0000
La2 0.3612 0.8612 0.0000
La3 0.6388 0.1388 0.0000
La4 0.8612 0.6388 0.0000
Bi1 0.1652 0.6652 0.5000
Bi2 0.3348 0.1652 0.5000
Bi3 0.6652 0.8348 0.5000
Bi4 0.8348 0.3348 0.5000
# space group = P4/mbm
# ρ = 6.9 g/cm³

***

x:
# LiLa2Bi2, relaxed, DFT PBE
data_LiLa2Bi2
_chemical_formula_sum 'Li2 La4 Bi4'
_symmetry_space_group_name_H-M 'P 1'
_symmetry_Int_Tables_number 1
_symmetry_space_group_name_Hall 'P 1'
_cell_length_a 8.5837
_cell_length_b 8.5837
_cell_length_c 4.4441
_cell_angle_alpha 90.00
_cell_angle_beta 90.00
_cell_angle_gamma 90.00
loop_
_atom_site_label
_atom_site_fract_x
_atom_site_fract_y
_atom_site_fract_z
Li1 0.0000 0.0000 0.0000
Li2 0.5000 0.5000 0.0000
La1 0.1499 0.3501 0.5000
La2 0.3501 0.8501 0.5000
La3 0.6499 0.1499 0.5000
La4 0.8501 0.6499 0.5000
Bi1 0.1579 0.6579 0.0000
Bi2 0.3421 0.1579 0.0000
Bi3 0.6579 0.8421 0.0000
Bi4 0.8421 0.3421 0.0000
# space group = P4/mbm
# ρ = 7.1 g/cm³

***

y:
# LiLa2Bi2, relaxed, DFT PBE
data_LiLa2Bi2
_chemical_formula_sum 'Li2 La4 Bi4'
_symmetry_space_group_name_H-M 'P 1'
_symmetry_Int_Tables_number 1
_symmetry_space_group_name_Hall 'P 1'
_cell_length_a 8.3378
_cell_length_b 8.3378
_cell_length_c 8.3378
_cell_angle_alpha 131.71
_cell_angle_beta 70.17
_cell_angle_gamma 132.37
loop_
_atom_site_label
_atom_site_fract_x
_atom_site_fract_y
_atom_site_fract_z
Li1 0.2500 0.2500 0.0000
Li2 0.7500 0.7500 0.0000
La1 0.1391 0.7195 0.8586
La2 0.3609 0.2195 0.5804
La3 0.6391 0.7805 0.4196
La4 0.8609 0.2805 0.1414
Bi1 0.1181 0.2363 0.3544
Bi2 0.3819 0.7363 0.1182
Bi3 0.6181 0.2637 0.8818
Bi4 0.8819 0.7637 0.6456
# space group = Ibam
# ρ = 7.4 g/cm³

***

Most stable: y. Least stable: w.

***

w:
# Li3LaBi2, relaxed, DFT PBE
data_Li3LaBi2
_chemical_formula_sum 'Li3 La1 Bi2'
_symmetry_space_group_name_H-M 'P 1'
_symmetry_Int_Tables_number 1
_symmetry_space_group_name_Hall 'P 1'
_cell_length_a 4.7520
_cell_length_b 4.7520
_cell_length_c 7.5891
_cell_angle_alpha 90.00
_cell_angle_beta 90.00
_cell_angle_gamma 120.00
loop_
_atom_site_label
_atom_site_fract_x
_atom_site_fract_y
_atom_site_fract_z
Li1 0.0000 0.0000 0.0000
Li2 0.3333 0.6667 0.1440
Li3 0.6667 0.3333 0.8560
La1 0.0000 0.0000 0.5000
Bi1 0.3333 0.6667 0.7551
Bi2 0.6667 0.3333 0.2449
# space group = P-3m1
# ρ = 6.5 g/cm³

***

x:
# Li3LaBi2, relaxed, DFT PBE
data_Li3LaBi2
_chemical_formula_sum 'Li9 La3 Bi6'
_symmetry_space_group_name_H-M 'P 1'
_symmetry_Int_Tables_number 1
_symmetry_space_group_name_Hall 'P 1'
_cell_length_a 9.2817
_cell_length_b 9.2817
_cell_length_c 11.0954
_cell_angle_alpha 100.17
_cell_angle_beta 100.17
_cell_angle_gamma 28.50
loop_
_atom_site_label
_atom_site_fract_x
_atom_site_fract_y
_atom_site_fract_z
Li1 0.0000 0.0000 0.0000
Li2 0.1199 0.1199 0.7243
Li3 0.1805 0.1805 0.4864
Li4 0.2921 0.2921 0.0990
Li5 0.4493 0.4493 0.1614
Li6 0.5507 0.5507 0.8386
Li7 0.7079 0.7079 0.9010
Li8 0.8195 0.8195 0.5136
Li9 0.8801 0.8801 0.2757
La1 0.3291 0.3291 0.7824
La2 0.5000 0.5000 0.5000
La3 0.6709 0.6709 0.2176
Bi1 0.0449 0.0449 0.3010
Bi2 0.1448 0.1448 0.9872
Bi3 0.3092 0.3092 0.3588
Bi4 0.6908 0.6908 0.6412
Bi5 0.8552 0.8552 0.0128
Bi6 0.9551 0.9551 0.6990
# space group = C2/m
# ρ = 6.4 g/cm³

***

Most stable: w. Least stable: x.

***

w:
# LiLa2BiRh, relaxed, DFT PBE
data_LiLa2BiRh
_chemical_formula_sum 'Li1 La2 Bi1 Rh1'
_symmetry_space_group_name_H-M 'P 1'
_symmetry_Int_Tables_number 1
_symmetry_space_group_name_Hall 'P 1'
_cell_length_a 5.4688
_cell_length_b 5.4688
_cell_length_c 4.8507
_cell_angle_alpha 90.00
_cell_angle_beta 90.00
_cell_angle_gamma 90.00
loop_
_atom_site_label
_atom_site_fract_x
_atom_site_fract_y
_atom_site_fract_z
Li1 0.0000 0.0000 0.0000
La1 0.0000 0.5000 0.5000
La2 0.5000 0.0000 0.5000
Bi1 0.5000 0.5000 0.0000
Rh1 0.0000 0.0000 0.5000
# space group = P4/mmm
# ρ = 6.8 g/cm³

***

x:
# LiLa2BiRh, relaxed, DFT PBE
data_LiLa2BiRh
_chemical_formula_sum 'Li1 La2 Bi1 Rh1'
_symmetry_space_group_name_H-M 'P 1'
_symmetry_Int_Tables_number 1
_symmetry_space_group_name_Hall 'P 1'
_cell_length_a 5.4963
_cell_length_b 5.4963
_cell_length_c 5.3670
_cell_angle_alpha 90.00
_cell_angle_beta 90.00
_cell_angle_gamma 90.00
loop_
_atom_site_label
_atom_site_fract_x
_atom_site_fract_y
_atom_site_fract_z
Li1 0.0000 0.0000 0.0000
La1 0.0000 0.5000 0.5000
La2 0.5000 0.0000 0.5000
Bi1 0.5000 0.5000 0.0000
Rh1 0.5000 0.5000 0.5000
# space group = P4/mmm
# ρ = 6.1 g/cm³

***

Most stable: w. Least stable: x.